Y2Cd3Au3: relaxed, GGA-PBE.

E_form, eV/atom: -0.58
M_tot, μB/cell: 0.00
Calculated volume, Å³ per cell: 521.8
Mass density, g/cm3: 10.56

Lattice parameters (Å, degrees): 4.9811 4.9811 24.2857 90.00 90.00 120.00
Space group R3m (No. 160, hexagonal axes)
One atom of each set of equivalent atoms:
1 Y 0.0000 0.0000 0.0000 x3
2 Y 0.0000 0.0000 0.4897 x3
3 Cd 0.0000 0.0000 0.2470 x3
4 Cd 0.0000 0.0000 0.7432 x3
5 Cd 0.0000 0.0000 0.8715 x3
6 Au 0.0000 0.0000 0.1249 x3
7 Au 0.0000 0.0000 0.3676 x3
8 Au 0.0000 0.0000 0.6159 x3

Rb3NiS: relaxed, GGA-PBE.

Relative energy among the computed polymorphs, eV per atom: 0.000
M_tot, μB/cell: 1.00
Calculated volume, Å³ per cell: 258.2
E_form (uncorrected), eV/atom: -0.0174
Mass density, g/cm3: 2.23

Lattice parameters (Å, degrees): 6.3679 6.3679 6.3679 90.00 90.00 90.00
Space group Pm-3m (No. 221)
One atom of each set of equivalent atoms:
1 Rb 0.0000 0.0000 0.5000 x3
2 Ni 0.5000 0.5000 0.5000 x1
3 S 0.0000 0.0000 0.0000 x1

LiYBr: relaxed, GGA-PBE.

Relative energy among the computed polymorphs, eV per atom: 0.356
M_tot, μB/cell: 0.64
Calculated volume, Å³ per cell: 68.9
E_form (uncorrected), eV/atom: -0.3997
Mass density, g/cm3: 4.24

Lattice parameters (Å, degrees): 4.5801 4.5801 3.7926 90.00 90.00 120.00
Space group P-6m2 (No. 187)
One atom of each set of equivalent atoms:
1 Li 0.0000 0.0000 0.0000 x1
2 Y 0.3333 0.6667 0.5000 x1
3 Br 0.6667 0.3333 0.0000 x1

La2TmCu12Ni3: relaxed, GGA-PBE.

E_form, eV/atom: 0.24
M_tot, μB/cell: 0.00
Calculated volume, Å³ per cell: 931.4
Mass density, g/cm3: 7.41

Lattice parameters (Å, degrees): 6.3652 6.3652 26.5435 90.00 90.00 120.00
Space group R-3m (No. 166, hexagonal axes)
One atom of each set of equivalent atoms:
1 La 0.0000 0.0000 0.1384 x6
2 Tm 0.0000 0.0000 0.5000 x3
3 Cu 0.0586 0.5293 0.9055 x18
4 Cu 0.0783 0.5391 0.6264 x18
5 Ni 0.0000 0.5000 0.0000 x9

CaIr3Au: relaxed, GGA-PBE.

E_form, eV/atom: 1.48
Relative energy among the computed polymorphs, eV per atom: 0.000
M_tot, μB/cell: 2.69
Calculated volume, Å³ per cell: 120.1
Mass density, g/cm3: 11.25

Lattice parameters (Å, degrees): 4.9338 4.9338 4.9338 90.00 90.00 90.00
Space group Pm-3m (No. 221)
One atom of each set of equivalent atoms:
1 Ca 0.0000 0.0000 0.0000 x1
2 Ir 0.0000 0.5000 0.5000 x3
3 Au 0.5000 0.5000 0.5000 x1

Ac3Ag4PdO8: relaxed, GGA-PBE.

M_tot, μB/cell: 1.88
Calculated volume, Å³ per cell: 545.7
E_form (uncorrected), eV/atom: -1.5009
Mass density, g/cm3: 8.20

Lattice parameters (Å, degrees): 12.6113 7.1429 6.5930 90.00 113.24 90.00
Space group C2/m (No. 12)
One atom of each set of equivalent atoms:
1 Ac 0.0000 0.0000 0.0000 x2
2 Ac 0.2500 0.2500 0.5000 x4
3 Ag 0.0000 0.0000 0.5000 x2
4 Ag 0.0000 0.5000 0.5000 x2
5 Ag 0.2500 0.2500 0.0000 x4
6 Pd 0.0000 0.5000 0.0000 x2
7 O 0.0427 0.3028 0.2424 x8
8 O 0.1809 0.0000 0.6826 x4
9 O 0.2174 0.0000 0.2088 x4